Here is a relaxed structure of MnTlTe2 from the Alexandria database. Energies are from PBE-GGA. Values from VASP.

Computed properties:
Calculated volume = 36.49 Å³/atom
Magnetization = 3.999 μB per formula unit
Energy relative to the elements, uncorrected = -0.1110 eV/atom
Total energy = -18.3 eV/cell
Crystal system = monoclinic
N(E_F) = 0.39 states/eV/cell
Symmetry = No. 8

Quantum ESPRESSO input file:
```
&SYSTEM
  ibrav = 0, nat = 4, ntyp = 3
/
ATOMIC_SPECIES
Mn 54.94 Mn.upf
Te 127.60 Te.upf
Tl 204.38 Tl.upf
CELL_PARAMETERS angstrom
8.8576 0.1554 -0.0268
7.9355 3.9381 -0.0268
2.5044 0.6105 4.3298
ATOMIC_POSITIONS crystal
Mn 0.6824 0.6824 0.6385
Te 0.0604 0.0604 0.9090
Te 0.3005 0.3005 0.3624
Tl 0.4567 0.4567 0.5901
```